[1]
Compound: Ac2TbNdY5
Source: Alexandria
Functional: GGA-PBE
Structure: relaxed

Computed properties:
Symmetry: Cmc2_1
Total moment (μB/f.u.): 0.00
Formation energy (eV per atom): 0.1530

Cell lengths 5.824, 10.516, 10.952 Å; angles 90.00, 90.00, 106.08 degrees
Sites, in units of the cell vectors:
Tb: 0.204 0.408 0.012
Tb: 0.796 0.592 0.512
Y: 0.716 0.433 0.811
Y: 0.298 0.595 0.706
Y: 0.388 0.777 0.021
Y: 0.981 0.962 0.525
Y: 0.019 0.038 0.025
Y: 0.702 0.405 0.206
Y: 0.481 0.962 0.737
Y: 0.519 0.038 0.237
Y: 0.612 0.223 0.521
Y: 0.284 0.567 0.311
Ac: 0.113 0.226 0.731
Ac: 0.885 0.769 0.819
Ac: 0.115 0.231 0.319
Ac: 0.887 0.774 0.231
Nd: 0.584 0.168 0.961
Nd: 0.416 0.832 0.461



[2]
Compound: ErLuZnIr
Source: Alexandria
Functional: GGA-PBE
Structure: relaxed

Computed properties:
Symmetry: F-43m
Total moment (μB/f.u.): 0.00
Formation energy (eV per atom): -0.6872

Cell lengths 4.851, 4.851, 4.851 Å; angles 60.00, 60.00, 60.00 degrees
Sites, in units of the cell vectors:
Zn: 0.000 0.000 0.000
Er: 0.750 0.750 0.750
Lu: 0.250 0.250 0.250
Ir: 0.500 0.500 0.500



[3]
Compound: Ca3GdAl8
Source: Alexandria
Functional: GGA-PBE
Structure: relaxed

Computed properties:
Symmetry: R3m
Total moment (μB/f.u.): 7.09
Formation energy (eV per atom): -0.3887

Cell lengths 9.718, 9.718, 9.718 Å; angles 33.91, 33.91, 33.91 degrees
Each line ends with the local moment (μB).
Sites, in units of the cell vectors:
Al: 0.063 0.063 0.559  0.00
Al: 0.563 0.065 0.563  -0.01
Al: 0.813 0.813 0.813  -0.01
Al: 0.065 0.563 0.563  -0.01
Al: 0.563 0.563 0.065  -0.01
Al: 0.063 0.559 0.063  0.00
Al: 0.559 0.063 0.063  0.00
Al: 0.312 0.312 0.312  0.00
Ca: 0.501 0.501 0.501  0.00
Ca: 0.999 0.999 0.999  -0.01
Ca: 0.625 0.625 0.625  0.00
Gd: 0.125 0.125 0.125  7.05



[4]
Compound: Ba2TlInBi6
Source: Alexandria
Functional: GGA-PBE
Structure: relaxed

Computed properties:
Symmetry: Fm-3m
Total moment (μB/f.u.): 0.00
Formation energy (eV per atom): 0.0429

Cell lengths 8.335, 8.335, 8.335 Å; angles 60.00, 60.00, 90.00 degrees
Sites, in units of the cell vectors:
Ba: 0.750 0.250 0.500
Ba: 0.250 0.750 0.500
Bi: 0.753 0.247 0.000
Bi: 0.247 0.753 0.000
Bi: 0.247 0.247 0.000
Bi: 0.247 0.247 0.507
Bi: 0.753 0.753 0.000
Bi: 0.753 0.753 0.493
In: 0.000 0.000 0.000
Tl: 0.500 0.500 0.000



[5]
Compound: Ba2NaHf
Source: Alexandria
Functional: GGA-PBE
Structure: relaxed

Computed properties:
Symmetry: I-42d
E above lowest polymorph (eV per formula unit): 1.26
Total moment (μB/f.u.): 1.21
Formation energy (eV per atom): 0.9911

Cell lengths 5.155, 5.155, 12.742 Å; angles 78.33, 78.33, 90.00 degrees
Each line ends with the local moment (μB).
Sites, in units of the cell vectors:
Hf: 0.750 0.250 0.500  0.60
Hf: 0.000 0.000 0.000  0.61
Na: 0.500 0.500 0.000  0.00
Na: 0.250 0.750 0.500  0.00
Ba: 0.635 0.125 0.250  0.03
Ba: 0.115 0.625 0.250  0.04
Ba: 0.375 0.365 0.750  0.03
Ba: 0.875 0.885 0.750  0.04



[6]
Compound: RbCoAs2
Source: Alexandria
Functional: GGA-PBE
Structure: relaxed

Computed properties:
Symmetry: P4/mmm
E above lowest polymorph (eV per formula unit): 0.98
Total moment (μB/f.u.): 0.00
Formation energy (eV per atom): 0.0296

Cell lengths 3.183, 3.183, 7.972 Å; angles 90.00, 90.00, 90.00 degrees
Sites, in units of the cell vectors:
As: 0.000 0.000 0.162
As: 0.000 0.000 0.838
Rb: 0.500 0.500 0.500
Co: 0.500 0.500 0.000



[7]
Compound: V4InRu5
Source: Alexandria
Functional: GGA-PBE
Structure: relaxed

Computed properties:
Symmetry: P4/mmm
Total moment (μB/f.u.): 0.40
Formation energy (eV per atom): -0.2390

Cell lengths 3.008, 3.008, 15.861 Å; angles 90.00, 90.00, 90.00 degrees
Each line ends with the local moment (μB).
Sites, in units of the cell vectors:
Ru: 0.500 0.500 0.687  0.00
Ru: 0.500 0.500 0.500  0.00
Ru: 0.500 0.500 0.126  -0.01
Ru: 0.500 0.500 0.313  0.00
Ru: 0.500 0.500 0.874  -0.01
In: 0.000 0.000 0.000  0.00
V: 0.000 0.000 0.404  0.10
V: 0.000 0.000 0.596  0.10
V: 0.000 0.000 0.789  0.09
V: 0.000 0.000 0.211  0.09



[8]
Compound: BaMgZn3
Source: Alexandria
Functional: GGA-PBE
Structure: relaxed

Computed properties:
Symmetry: Pm-3m
E above lowest polymorph (eV per formula unit): 1.26
Total moment (μB/f.u.): 0.00
Formation energy (eV per atom): 0.1079

Cell lengths 5.201, 5.201, 5.201 Å; angles 90.00, 90.00, 90.00 degrees
Sites, in units of the cell vectors:
Zn: 0.000 0.500 0.000
Zn: 0.500 0.000 0.000
Zn: 0.000 0.000 0.500
Ba: 0.500 0.500 0.500
Mg: 0.000 0.000 0.000



[9]
Compound: YGa2Pt8
Source: Alexandria
Functional: GGA-PBE
Structure: relaxed

Computed properties:
Symmetry: P4/mmm
Total moment (μB/f.u.): 0.00
Formation energy (eV per atom): -0.2707

Cell lengths 5.362, 5.362, 7.946 Å; angles 90.00, 90.00, 90.00 degrees
Sites, in units of the cell vectors:
Pt: 0.754 0.246 0.776
Pt: 0.246 0.754 0.224
Pt: 0.754 0.754 0.224
Pt: 0.754 0.246 0.224
Pt: 0.246 0.246 0.224
Pt: 0.246 0.754 0.776
Pt: 0.246 0.246 0.776
Pt: 0.754 0.754 0.776
Y: 0.500 0.500 0.500
Ga: 0.000 0.500 0.000
Ga: 0.500 0.000 0.000



[10]
Compound: CrAgHPt2
Source: Alexandria
Functional: GGA-PBE
Structure: relaxed

Computed properties:
Symmetry: P4/mmm
E above lowest polymorph (eV per formula unit): 2.48
Total moment (μB/f.u.): 2.78

Cell lengths 4.918, 3.062, 4.918 Å; angles 90.00, 90.00, 90.00 degrees
Each line ends with the local moment (μB).
Sites, in units of the cell vectors:
Cr: 0.000 0.000 0.000  2.52
Ag: 0.500 0.500 0.500  0.01
H: 0.000 0.500 0.000  -0.02
Pt: 0.500 0.000 0.000  0.09
Pt: 0.000 0.000 0.500  0.02



[11]
Compound: FeCo2SiRu
Source: Alexandria
Functional: GGA-PBE
Structure: relaxed

Computed properties:
Symmetry: P4/mmm
Total moment (μB/f.u.): 5.68
Formation energy without anion corrections (meV per atom): 1013

Cell lengths 4.173, 4.173, 4.173 Å; angles 90.00, 90.00, 90.00 degrees
Each line ends with the local moment (μB).
Sites, in units of the cell vectors:
Ru: 0.500 0.500 0.500  0.81
Co: 0.000 0.000 0.500  1.83
Co: 0.500 0.000 0.000  1.56
Fe: 0.000 0.000 0.000  1.57
Si: 0.000 0.500 0.000  -0.03



[12]
Compound: Li2ZrRh2
Source: Alexandria
Functional: GGA-PBE
Structure: relaxed

Computed properties:
Symmetry: P4/mbm
E above lowest polymorph (eV per formula unit): 0.15
Total moment (μB/f.u.): 0.00
Formation energy (eV per atom): -0.3010

Cell lengths 6.807, 6.807, 3.074 Å; angles 90.00, 90.00, 90.00 degrees
Sites, in units of the cell vectors:
Zr: 0.500 0.500 0.000
Zr: 0.000 0.000 0.000
Li: 0.108 0.392 0.000
Li: 0.392 0.892 0.000
Li: 0.608 0.108 0.000
Li: 0.892 0.608 0.000
Rh: 0.191 0.691 0.500
Rh: 0.309 0.191 0.500
Rh: 0.809 0.309 0.500
Rh: 0.691 0.809 0.500